[1]
Entry from Alexandria via LeMat-Bulk: a relaxed CsErVO4 crystal (PBE+U).

The space group is P2_1/m (No. 11) and the conventional cell measures 5.7332, 5.9245 and 7.9325 Å, with angles of 90.00, 99.64 and 90.00 degrees. The inequivalent atoms are Cs at (0.1895, 0.2500, 0.1071), Er at (0.1755, 0.7500, 0.4707), V at (0.3611, 0.2500, 0.6635), O at (0.1400, 0.0206, 0.6623), O at (0.3404, 0.7500, 0.2244) and O at (0.4335, 0.2500, 0.4492).

[2]
Entry from Alexandria via LeMat-Bulk: a relaxed Cs2ErWO6 crystal (PBE+U).

The space group is P-3m1 (No. 164) and the conventional cell measures 6.8180, 6.8180 and 5.8403 Å, with angles of 90.00, 90.00 and 120.00 degrees. The inequivalent atoms are Cs at (0.3333, 0.6667, 0.1357), Er at (0.0000, 0.0000, 0.5000), W at (0.0000, 0.0000, 0.0000) and O at (0.1292, 0.2584, 0.7895).

[3]
Entry from Alexandria via LeMat-Bulk: a relaxed Cs2ErW3O12 crystal (PBE+U).

The space group is R-3m (No. 166, hexagonal axes) and the conventional cell measures 7.5119, 7.5119 and 18.9836 Å, with angles of 90.00, 90.00 and 120.00 degrees. The inequivalent atoms are Cs at (0.0000, 0.0000, 0.1259), Er at (0.0000, 0.0000, 0.5000), W at (0.0000, 0.5000, 0.0000), O at (0.0527, 0.5263, 0.0985) and O at (0.0876, 0.5438, 0.3463).

Number 1: DFT total energy -7.145 eV per atom, theoretical density 5.19 g/cm3. Number 2: DFT total energy -6.420 eV per atom, theoretical density 5.04 g/cm3. Number 3: DFT total energy -7.055 eV per atom, theoretical density 6.32 g/cm3.